Entry 1:
! GeSb2Te4 PBE relaxed; values from VASP
&SYSTEM
  ibrav = 0, nat = 7, ntyp = 3
/
ATOMIC_SPECIES
Te 127.60 Te.upf
Sb 121.76 Sb.upf
Ge 72.64 Ge.upf
ATOMIC_POSITIONS crystal
Te 0.293 0.293 0.121
Te 0.707 0.707 0.879
Te 0.871 0.871 0.387
Sb 0.422 0.422 0.735
Ge 0.000 0.000 0.000
Sb 0.578 0.578 0.265
Te 0.129 0.129 0.613
CELL_PARAMETERS angstrom
4.305 0.000 0.000
2.153 3.729 0.000
2.153 1.243 14.044
! - Space group: R-3m (166)
! - Energy: -3.748 eV per atom
! - Formation energy (no corrections): -116 meV/atom



Entry 2:
! TlAuC PBE relaxed; values from VASP
&SYSTEM
  ibrav = 0, nat = 12, ntyp = 3
/
ATOMIC_SPECIES
Tl 204.38 Tl.upf
Au 196.97 Au.upf
C 12.01 C.upf
ATOMIC_POSITIONS crystal
Tl 0.500 0.500 0.500
Au 0.249 0.250 0.250
Tl 0.500 0.000 0.500
Au 0.251 0.750 0.750
Au 0.749 0.250 0.250
C 0.499 0.250 0.362
C 0.501 0.750 0.638
C 0.999 0.250 0.138
Au 0.751 0.750 0.750
C 0.001 0.750 0.862
Tl 0.000 0.500 0.000
Tl 0.000 0.000 0.000
CELL_PARAMETERS angstrom
7.228 0.000 0.000
0.000 7.122 0.000
0.000 0.000 8.994
! - Space group: Pnma (62)
! - Calculated formation energy: 1.038 eV/atom
! - Energy: -3.918 eV per atom



Entry 3:
! CePmP2Rh2 PBE relaxed; values from VASP
&SYSTEM
  ibrav = 0, nat = 6, ntyp = 4
/
ATOMIC_SPECIES
Ce 140.12 Ce.upf
Rh 102.91 Rh.upf
P 30.97 P.upf
Pm 145.00 Pm.upf
ATOMIC_POSITIONS crystal
Ce 0.000 0.000 0.000
Rh 0.667 0.333 0.233
P 0.667 0.333 0.741
Rh 0.333 0.667 0.767
Pm 0.000 0.000 0.500
P 0.333 0.667 0.259
CELL_PARAMETERS angstrom
4.114 0.000 0.000
-2.057 3.562 0.000
0.000 0.000 7.906
! - Space group: P-3m1 (164)
! - Calculated formation energy: -1.248 eV/atom
! - Energy: -7.283 eV per atom



Entry 4:
! Hf4GaPb PBE relaxed; values from VASP
&SYSTEM
  ibrav = 0, nat = 12, ntyp = 3
/
ATOMIC_SPECIES
Hf 178.49 Hf.upf
Ga 69.72 Ga.upf
Pb 207.20 Pb.upf
ATOMIC_POSITIONS crystal
Hf 0.230 0.280 0.378
Ga 0.750 0.000 0.999
Hf 0.759 0.398 0.210
Ga 0.250 0.000 0.001
Hf 0.951 0.812 0.210
Hf 0.649 0.098 0.378
Hf 0.351 0.902 0.622
Hf 0.049 0.188 0.790
Pb 0.646 0.396 0.792
Hf 0.770 0.720 0.622
Pb 0.354 0.604 0.208
Hf 0.241 0.602 0.790
CELL_PARAMETERS angstrom
-2.770 4.914 0.133
-0.644 -3.549 -7.012
-3.463 -3.650 5.417
! - Space group: C2/c (15)
! - Calculated formation energy: -0.198 eV/atom
! - Energy: -7.956 eV per atom



Entry 5:
! HgMoSe2 PBE relaxed; values from VASP
&SYSTEM
  ibrav = 0, nat = 4, ntyp = 3
/
ATOMIC_SPECIES
Se 78.96 Se.upf
Mo 95.94 Mo.upf
Hg 200.59 Hg.upf
ATOMIC_POSITIONS crystal
Se 0.500 0.212 0.198
Mo 0.500 0.913 0.798
Se 0.000 0.829 0.967
Hg 0.000 0.545 0.537
CELL_PARAMETERS angstrom
5.016 0.000 0.000
0.000 3.639 0.029
0.000 1.789 4.576
! - Space group: Pm (6)
! - Energy: -4.282 eV per atom
! - Formation energy (no corrections): 243 meV/atom



Entry 6:
! Y2Fe12Co5 PBE relaxed; values from VASP
&SYSTEM
  ibrav = 0, nat = 19, ntyp = 3
/
ATOMIC_SPECIES
Fe 55.84 Fe.upf
Co 58.93 Co.upf
Y 88.91 Y.upf
ATOMIC_POSITIONS crystal
Fe 0.704 0.000 0.296
Co 0.000 0.000 0.500
Fe 0.000 0.704 0.296
Y 0.656 0.656 0.656
Co 0.093 0.093 0.093
Fe 0.661 0.661 0.153
Co 0.500 0.000 0.000
Fe 0.661 0.153 0.661
Y 0.344 0.344 0.344
Fe 0.000 0.296 0.704
Fe 0.153 0.661 0.661
Fe 0.339 0.847 0.339
Fe 0.339 0.339 0.847
Fe 0.296 0.704 0.000
Co 0.000 0.500 0.000
Fe 0.296 0.000 0.704
Fe 0.704 0.296 0.000
Co 0.907 0.907 0.907
Fe 0.847 0.339 0.339
CELL_PARAMETERS angstrom
-3.242 -0.143 5.493
2.380 -5.500 2.189
4.561 2.514 3.685
! - Space group: R-3m (166)
! - Calculated formation energy: -0.043 eV/atom
! - Energy: -7.939 eV per atom



Entry 7:
! SmTmCo4 PBE relaxed; values from VASP
&SYSTEM
  ibrav = 0, nat = 6, ntyp = 3
/
ATOMIC_SPECIES
Co 58.93 Co.upf
Sm 150.36 Sm.upf
Tm 168.93 Tm.upf
ATOMIC_POSITIONS crystal
Co 0.626 0.626 0.626
Co 0.626 0.626 0.123
Sm 0.250 0.250 0.250
Co 0.123 0.626 0.626
Tm 0.000 0.000 0.000
Co 0.626 0.123 0.626
CELL_PARAMETERS angstrom
5.081 0.000 0.000
2.540 4.400 0.000
2.540 1.467 4.149
! - Space group: F-43m (216)
! - Calculated formation energy: -0.175 eV/atom
! - Energy: -6.444 eV per atom



Entry 8:
! Li2TcSb PBE relaxed; values from VASP
&SYSTEM
  ibrav = 0, nat = 4, ntyp = 3
/
ATOMIC_SPECIES
Li 6.94 Li.upf
Tc 98.00 Tc.upf
Sb 121.76 Sb.upf
ATOMIC_POSITIONS crystal
Li 0.500 0.500 0.000
Li 0.000 0.000 0.000
Tc 0.750 0.250 0.500
Sb 0.250 0.750 0.500
CELL_PARAMETERS angstrom
-2.731 4.421 -0.290
-5.089 -0.459 -0.989
3.402 -2.119 3.320
! - Space group: I4/mmm (139)
! - Energy: -4.504 eV per atom
! - Formation energy (no corrections): 75 meV/atom



- energy of number 6 (Y2Fe12Co5)?
  -7.939 eV per atom